(1)
Here is a relaxed RbNaLa2Rh crystal from Alexandria. Energies are from PBE.

Lattice parameters (Å, degrees): 5.8349 4.9248 5.8349 90.00 90.00 90.00
Atoms (fractional coordinates):
Rb  0.0000  0.0000  0.0000
Rh  0.0000  0.5000  0.0000
La  0.0000  0.0000  0.5000
Na  0.5000  0.5000  0.5000
La  0.5000  0.0000  0.0000

Values from the calculation:
For the energy of formation from the pure elements, the calculation gives 1.151 eV/atom. Its spin magnetization is 0.00 μB/cell. The total energy comes out at -2.748 eV/atom.


(2)
Here is a relaxed ThOsC crystal from Alexandria. Energies are from PBE.

Lattice parameters (Å, degrees): 3.9160 3.9160 7.1396 90.00 90.00 90.00
Atoms (fractional coordinates):
Th  0.0000  0.0000  0.7500
C  0.5000  0.0000  0.5000
Os  0.5000  0.5000  0.5000
Os  0.5000  0.5000  0.0000
C  0.0000  0.5000  0.0000
Th  0.0000  0.0000  0.2500

Values from the calculation:
For the energy of formation from the pure elements, the calculation gives -0.240 eV/atom. The offset from the most stable computed form comes out at 0.0 meV/atom. Its spin magnetization is 0.00 μB/cell. The total energy comes out at -9.531 eV/atom.


(3)
Here is a relaxed Ba2InGaAu6 crystal from Alexandria. Energies are from PBE.

Lattice parameters (Å, degrees): 7.1302 7.4272 7.1166 73.31 52.46 95.12
Atoms (fractional coordinates):
Ba  0.7468  0.1973  0.5505
Au  0.2761  0.2845  0.4880
Au  0.7239  0.7155  0.5120
In  0.0000  0.0000  0.0000
Ga  0.5000  0.5000  0.0000
Au  0.2271  0.7152  0.0066
Ba  0.2532  0.8027  0.4495
Au  0.7473  0.6186  0.1290
Au  0.2527  0.3814  0.8710
Au  0.7729  0.2848  0.9934

Values from the calculation:
For the energy of formation from the pure elements, the calculation gives -0.498 eV/atom. Its spin magnetization is 0.00 μB/cell. The total energy comes out at -3.425 eV/atom.


(4)
Here is a relaxed CaCeRh3 crystal from Alexandria. Energies are from PBE.

Lattice parameters (Å, degrees): 5.5773 8.4913 8.5796 105.24 90.00 90.00
Atoms (fractional coordinates):
Ca  0.7349  0.4202  0.5516
Rh  0.0026  0.2668  0.2421
Ce  0.8046  0.5648  0.1916
Ca  0.2651  0.5798  0.4484
Ce  0.6954  0.0648  0.6916
Rh  0.6813  0.5578  0.9070
Ce  0.3046  0.9352  0.3084
Rh  0.5026  0.2332  0.2579
Ca  0.2349  0.0798  0.9484
Rh  0.1813  0.9422  0.5930
Rh  0.2812  0.7550  0.0426
Ca  0.7651  0.9202  0.0516
Rh  0.9974  0.7332  0.7579
Rh  0.4974  0.7668  0.7421
Rh  0.2188  0.2550  0.5426
Rh  0.7188  0.2450  0.9574
Rh  0.8187  0.0578  0.4070
Rh  0.7812  0.7450  0.4574
Ce  0.1954  0.4352  0.8084
Rh  0.3187  0.4422  0.0930

Values from the calculation:
For the energy of formation from the pure elements, the calculation gives -0.571 eV/atom. Its spin magnetization is 0.00 μB/cell. The total energy comes out at -6.569 eV/atom.


(5)
Here is a relaxed Zr2CuO crystal from Alexandria. Energies are from PBE.

Lattice parameters (Å, degrees): 5.4346 5.4346 6.4510 65.09 65.09 90.00
Atoms (fractional coordinates):
Zr  0.8750  0.8052  0.7500
Zr  0.1948  0.6250  0.2500
Zr  0.5552  0.1250  0.2500
Cu  0.0000  0.0000  0.0000
O  0.5000  0.5000  0.0000
Cu  0.7500  0.2500  0.5000
O  0.2500  0.7500  0.5000
Zr  0.3750  0.4448  0.7500

Values from the calculation:
Its spin magnetization is 0.00 μB/cell. The total energy comes out at -7.490 eV/atom.


(6)
Here is a relaxed RbZn2InIr crystal from Alexandria. Energies are from PBE.

Lattice parameters (Å, degrees): 5.0266 5.0266 5.1662 90.00 90.00 90.00
Atoms (fractional coordinates):
In  0.0000  0.0000  0.5000
Zn  0.0000  0.5000  0.0000
Ir  0.0000  0.0000  0.0000
Zn  0.5000  0.0000  0.0000
Rb  0.5000  0.5000  0.5000

Values from the calculation:
For the energy of formation from the pure elements, the calculation gives -0.138 eV/atom. Its spin magnetization is 0.00 μB/cell. The total energy comes out at -3.161 eV/atom.


(7)
Here is a relaxed LaGaCu4 crystal from Alexandria. Energies are from PBE.

Lattice parameters (Å, degrees): 4.7868 6.8567 6.9187 90.00 110.24 90.00
Atoms (fractional coordinates):
La  0.6060  0.2500  0.2121
Ga  0.8706  0.2500  0.7412
Cu  0.6311  0.7500  0.2621
La  0.3940  0.7500  0.7879
Ga  0.1294  0.7500  0.2588
Cu  0.2072  0.4324  0.4144
Cu  0.0000  0.5000  0.0000
Cu  0.7928  0.9324  0.5856
Cu  0.3689  0.2500  0.7379
Cu  0.2072  0.0676  0.4144
Cu  0.0000  0.0000  0.0000
Cu  0.7928  0.5676  0.5856

Values from the calculation:
For the energy of formation from the pure elements, the calculation gives -0.055 eV/atom. Its spin magnetization is 0.00 μB/cell. The total energy comes out at -4.112 eV/atom.


(8)
Here is a relaxed Ho6Sn3Ru crystal from Alexandria. Energies are from PBE.

Lattice parameters (Å, degrees): 6.0597 8.6455 10.6634 90.00 87.80 90.00
Atoms (fractional coordinates):
Ho  0.8667  0.9501  0.2334
Ho  0.3667  0.5499  0.7334
Ho  0.6333  0.4501  0.2666
Ho  0.1333  0.0499  0.7666
Ru  0.0000  0.0000  0.0000
Ho  0.3834  0.8426  0.0586
Ru  0.5000  0.5000  0.5000
Ho  0.4034  0.8013  0.4372
Ho  0.9034  0.6987  0.9372
Sn  0.5000  0.5000  0.0000
Sn  0.1041  0.6120  0.2368
Ho  0.6166  0.1574  0.9414
Sn  0.0000  0.0000  0.5000
Ho  0.8834  0.6574  0.5586
Ho  0.1166  0.3426  0.4414
Ho  0.5966  0.1987  0.5628
Sn  0.6041  0.8880  0.7368
Sn  0.3959  0.1120  0.2632
Sn  0.8959  0.3880  0.7632
Ho  0.0966  0.3013  0.0628

Values from the calculation:
For the energy of formation from the pure elements, the calculation gives -0.477 eV/atom. Its spin magnetization is 0.00 μB/cell. The total energy comes out at -5.352 eV/atom.